NpSiPt2 | PBE | relaxed

Summary:
Its space-group type is R-3m, No. 166. For the formation energy (no corrections), the calculation gives -0.07 eV per atom. Its calculated volume is 70 Å³ per cell. The calculation puts the total energy at -30.74 eV/cell. As for the magnetization: 4.0 Bohr magnetons per cell.

Cell: 2.925 2.925 9.657 Å, 81.29 81.29 60.00°
Last column: magnetic moment on the atom in μB.
Fractional coordinates of all 4 atoms:
Np1 0.000 0.000 0.000  3.73
Si1 0.500 0.500 0.500  0.00
Pt1 0.102 0.102 0.693  0.03
Pt2 0.898 0.898 0.307  0.03



Cu2Pt | PBE | relaxed

Summary:
Its space-group type is P-1, No. 2. Its calculated volume is 161 Å³ per cell. The calculation puts the total energy at -58.17 eV/cell. The calculation puts the formation energy at -0.309 eV/f.u. As for the magnetization: 0.0 Bohr magnetons per cell. Its polymorph energy (0 for the lowest one) is 43 meV/atom.

Cell: 4.653 6.509 5.963 Å, 111.60 74.89 88.99°
Fractional coordinates of all 12 atoms:
Cu1 0.995 0.007 0.009
Cu2 0.415 0.091 0.254
Cu3 0.828 0.166 0.491
Cu4 0.250 0.250 0.750
Cu5 0.672 0.334 0.009
Cu6 0.085 0.409 0.246
Cu7 0.505 0.493 0.491
Cu8 0.750 0.750 0.250
Pt1 0.919 0.568 0.740
Pt2 0.331 0.657 0.999
Pt3 0.169 0.843 0.501
Pt4 0.581 0.932 0.760



Ba2UCd2Sb4 | PBE | relaxed

Summary:
Its space-group type is C2/m, No. 12. For the formation energy (no corrections), the calculation gives -0.58 eV per atom. Its calculated volume is 299 Å³ per cell. The calculation puts the total energy at -38.65 eV/cell. As for the magnetization: 2.0 Bohr magnetons per cell.

Cell: 4.624 8.252 8.650 Å, 109.08 105.50 90.00°
Last column: magnetic moment on the atom in μB.
Fractional coordinates of all 9 atoms:
Ba1 0.131 0.584 0.262  -0.01
Ba2 0.869 0.416 0.738  -0.01
U1 0.000 0.000 0.000  2.25
Cd1 0.672 0.988 0.344  0.00
Cd2 0.328 0.012 0.656  0.00
Sb1 0.201 0.211 0.401  -0.03
Sb2 0.799 0.789 0.599  -0.03
Sb3 0.502 0.746 0.003  -0.06
Sb4 0.498 0.254 0.997  -0.06



Ir2RhBr | PBE | relaxed

Summary:
Its space-group type is Cmm2, No. 35. For the formation energy (no corrections), the calculation gives 0.69 eV per atom. Its calculated volume is 65 Å³ per cell. The calculation puts the total energy at -23.99 eV/cell. As for the magnetization: 0.0 Bohr magnetons per cell. Its polymorph energy (0 for the lowest one) is 227 meV/atom.

Cell: 2.827 2.827 9.560 Å, 90.00 90.00 121.65°
Fractional coordinates of all 4 atoms:
Ir1 0.000 0.000 0.017
Ir2 0.500 0.500 0.252
Rh1 0.000 0.000 0.490
Br1 0.500 0.500 0.740



TaTlPb2 | PBE | relaxed

Summary:
Its space-group type is Immm, No. 71. Its calculated volume is 114 Å³ per cell. The calculation puts the total energy at -19.99 eV/cell. The calculation puts the formation energy at 1.645 eV/f.u. As for the magnetization: 0.0 Bohr magnetons per cell. Its polymorph energy (0 for the lowest one) is 87 meV/atom.

Cell: 7.804 7.804 5.101 Å, 70.88 70.88 22.97°
Fractional coordinates of all 4 atoms:
Pb1 0.068 0.068 0.932
Pb2 0.432 0.432 0.568
Ta1 0.750 0.750 0.750
Tl1 0.250 0.250 0.250



Na2Sb3Pd8 | PBE | relaxed

Summary:
Its space-group type is R-3m, No. 166. For the formation energy (no corrections), the calculation gives -0.11 eV per atom. Its calculated volume is 254 Å³ per cell. The calculation puts the total energy at -57.99 eV/cell. As for the magnetization: 0.0 Bohr magnetons per cell.

Cell: 5.432 5.432 10.436 Å, 74.91 74.91 60.00°
Fractional coordinates of all 13 atoms:
Na1 0.631 0.631 0.107
Na2 0.369 0.369 0.893
Sb1 0.000 0.000 0.000
Sb2 0.807 0.807 0.580
Sb3 0.193 0.193 0.420
Pd1 0.722 0.722 0.833
Pd2 0.278 0.278 0.167
Pd3 0.217 0.717 0.350
Pd4 0.717 0.217 0.350
Pd5 0.717 0.717 0.350
Pd6 0.283 0.783 0.650
Pd7 0.783 0.283 0.650
Pd8 0.283 0.283 0.650



Q: What is the magnetization in the fifth record?
A: 0.0 Bohr magnetons per cell



Q: Which value of calculated volume does entry 5 give?
A: 114 Å³ per cell



Q: magnetization of number 3 (Ba2UCd2Sb4)?
A: 2.0 Bohr magnetons per cell